Material: TbDy2Sc4
Method: DFT, GGA-PBE
State: relaxed

energy of formation from the pure elements: 0.1719 eV/atom
SG: No. 65
crystal system: orthorhombic
energy relative to the lowest polymorph listed for this composition: 0 meV per atom

Cell lengths 10.6489, 10.6489, 5.2378 Å; angles 90.00, 90.00, 160.46 degrees
Sites, in units of the cell vectors:
Tb 0.0000 0.0000 0.0000
Dy 0.4262 0.5738 0.5000
Dy 0.5738 0.4262 0.5000
Sc 0.1974 0.8026 0.5000
Sc 0.3190 0.6810 0.0000
Sc 0.6810 0.3190 0.0000
Sc 0.8026 0.1974 0.5000